No. 1
Material: LiTb2Si4Ir3
Method: DFT, PBE
State: relaxed

Formation energy (no corrections), eV per formula unit: -9.1
SG: No. 115

abc: 4.1614 4.1614 9.8134
angles: 90.00 90.00 90.00
Closest atoms and distances in Å follow each position.
Fractional positions:
Li  0.5000  0.5000  0.5000  4 Si 2.45
Tb  0.5000  0.0000  0.2455  6 Ir 3.17-3.25, 8 Si 3.18, 2 Li 3.25
Tb  0.0000  0.5000  0.7545  6 Ir 3.17-3.25, 8 Si 3.18, 2 Li 3.25
Si  0.5000  0.5000  0.0000  4 Ir 2.42
Si  0.0000  0.0000  0.0000  4 Ir 2.42
Si  0.5000  0.0000  0.6310  3 Ir 2.38-2.45, 2 Li 2.45
Si  0.0000  0.5000  0.3690  3 Ir 2.38-2.45, 2 Li 2.45
Ir  0.0000  0.0000  0.5000  4 Si 2.45
Ir  0.5000  0.0000  0.8733  5 Si 2.38-2.42
Ir  0.0000  0.5000  0.1267  5 Si 2.38-2.42


No. 2
Material: DySbP2Rh5
Method: DFT, PBE
State: relaxed

Formation energy (no corrections), eV per formula unit: -6.4
SG: No. 123

abc: 4.0258 4.0258 10.2125
angles: 90.00 90.00 90.00
Closest atoms and distances in Å follow each position.
Fractional positions:
Dy  0.0000  0.0000  0.5000  4 Rh 2.85
Sb  0.0000  0.0000  0.0000  8 Rh 2.68
P  0.5000  0.5000  0.2792  5 Rh 2.25-2.29
P  0.5000  0.5000  0.7208  5 Rh 2.25-2.29
Rh  0.0000  0.5000  0.1728  2 P 2.29
Rh  0.5000  0.0000  0.1728  2 P 2.29
Rh  0.0000  0.5000  0.8272  2 P 2.29
Rh  0.5000  0.0000  0.8272  2 P 2.29
Rh  0.5000  0.5000  0.5000  2 P 2.25


No. 3
Material: MgPt5
Method: DFT, PBE
State: relaxed

Energy of formation from the pure elements, eV/atom: -0.32
SG: No. 38

abc: 7.3238 7.3238 4.7226
angles: 90.00 90.00 158.02
Closest atoms and distances in Å follow each position.
Fractional positions:
Mg  0.0190  0.9810  0.0000  8 Pt 2.69-2.75, 2 Mg 2.79
Pt  0.2003  0.7997  0.5000  10 Pt 2.74-2.81
Pt  0.3587  0.6413  0.0000  2 Mg 2.69, 8 Pt 2.75-2.90
Pt  0.5365  0.4635  0.5000  6 Pt 2.74-2.79, 4 Mg 2.75
Pt  0.6821  0.3179  0.0000  2 Mg 2.73, 8 Pt 2.76-2.90
Pt  0.8700  0.1300  0.5000  10 Pt 2.75-2.81


Number 1: total moment 0.000 μB per cell, ρ 9.91 g/cm3. Number 2: total moment 0.000 μB per cell, ρ 8.64 g/cm3. Number 3: total moment 0.000 μB per cell, ρ 17.51 g/cm3.